Entry one
VASP calculation (PBE-GGA) on an optimized crystal structure of TiAlCr.

Values from the calculation:
Total magnetization = 0.0 μB per cell

Cell lengths 2.609, 4.356, 4.356 Å; angles 120.00, 90.00, 90.00 degrees
Element x y z (fractional)
Ti 0.063 0.000 0.000
Cr 0.295 0.667 0.333
Al 0.642 0.333 0.667


Entry two
VASP calculation (PBE-GGA) on an optimized crystal structure of TiAlCr.

Values from the calculation:
Total magnetization = 0.0 μB per cell

Cell lengths 4.958, 4.958, 8.249 Å; angles 90.00, 90.00, 119.63 degrees
Element x y z (fractional)
Ti 0.665 0.335 0.693
Ti 0.330 0.670 0.177
Ti 0.330 0.670 0.823
Ti 0.665 0.335 0.307
Cr 0.167 0.833 0.500
Cr 0.820 0.640 0.000
Cr 0.360 0.180 0.000
Cr 0.827 0.173 0.000
Al 0.008 0.992 0.242
Al 0.166 0.344 0.500
Al 0.656 0.834 0.500
Al 0.008 0.992 0.758


Computed energies relative to the best structure, in kJ/mol of atoms: entry one 8.4; entry two 0.0


Entry one
VASP calculation (PBE-GGA) on an optimized crystal structure of TiAl2Cr2.

Values from the calculation:
Total magnetization = 4.7 μB per cell

Cell lengths 7.001, 7.001, 2.982 Å; angles 90.00, 90.00, 90.00 degrees
Last column: magnetic moment on the atom in μB.
Element x y z (fractional)
Al 0.129 0.371 0.000  -0.04
Al 0.629 0.129 0.000  -0.04
Al 0.371 0.871 0.000  -0.04
Al 0.871 0.629 0.000  -0.04
Cr 0.331 0.169 0.500  1.70
Cr 0.831 0.331 0.500  1.74
Cr 0.169 0.669 0.500  1.74
Cr 0.669 0.831 0.500  1.70
Ti 0.500 0.500 0.000  -0.79
Ti 0.000 0.000 0.000  -0.79


Entry two
VASP calculation (PBE-GGA) on an optimized crystal structure of TiAl2Cr2.

Values from the calculation:
Total magnetization = 0.0 μB per cell

Cell lengths 7.321, 7.321, 2.694 Å; angles 90.00, 90.00, 90.00 degrees
Element x y z (fractional)
Al 0.689 0.811 0.500
Al 0.311 0.189 0.500
Al 0.811 0.311 0.500
Al 0.189 0.689 0.500
Ti 0.000 0.000 0.000
Ti 0.500 0.500 0.000
Cr 0.604 0.104 0.000
Cr 0.896 0.604 0.000
Cr 0.396 0.896 0.000
Cr 0.104 0.396 0.000


Computed energies relative to the best structure, in kJ/mol of atoms: entry one 0.0; entry two 2.9


Entry one
VASP calculation (PBE-GGA) on an optimized crystal structure of Ti3AlCr.

Values from the calculation:
Total magnetization = 0.8 μB per cell

Cell lengths 4.507, 4.507, 4.507 Å; angles 90.00, 90.00, 90.00 degrees
Last column: magnetic moment on the atom in μB.
Element x y z (fractional)
Cr 0.000 0.000 0.000  -0.04
Al 0.500 0.500 0.500  -0.01
Ti 0.500 0.000 0.000  0.32
Ti 0.000 0.000 0.500  0.11
Ti 0.000 0.500 0.000  0.17


Entry two
VASP calculation (PBE-GGA) on an optimized crystal structure of Ti3AlCr.

Values from the calculation:
Total magnetization = 0.0 μB per cell

Cell lengths 4.615, 4.615, 4.615 Å; angles 90.00, 90.00, 90.00 degrees
Element x y z (fractional)
Ti 0.500 0.000 0.000
Ti 0.000 0.500 0.000
Ti 0.000 0.000 0.500
Cr 0.500 0.500 0.500
Al 0.000 0.000 0.000


Computed energies relative to the best structure, in kJ/mol of atoms: entry one 0.0; entry two 80.3


Entry one
VASP calculation (PBE-GGA) on an optimized crystal structure of TiAl6Cr.

Values from the calculation:
Total magnetization = 3.6 μB per cell

Cell lengths 7.198, 7.200, 5.064 Å; angles 44.76, 44.79, 59.73 degrees
Last column: magnetic moment on the atom in μB.
Element x y z (fractional)
Ti 0.000 0.000 0.000  0.67
Al 0.248 0.000 0.250  -0.01
Al 0.500 0.248 0.254  -0.01
Al 0.001 0.498 0.749  -0.01
Al 0.500 0.752 0.746  -0.01
Al 0.999 0.502 0.251  -0.01
Al 0.752 0.000 0.750  -0.01
Cr 0.500 0.500 0.500  2.67


Entry two
VASP calculation (PBE-GGA) on an optimized crystal structure of TiAl6Cr.

Values from the calculation:
Total magnetization = 2.6 μB per cell

Cell lengths 3.944, 3.944, 7.868 Å; angles 90.00, 90.00, 90.00 degrees
Last column: magnetic moment on the atom in μB.
Element x y z (fractional)
Al 0.500 0.500 0.000  -0.01
Al 0.500 0.500 0.500  -0.02
Al 0.000 0.500 0.742  -0.01
Al 0.500 0.000 0.258  -0.01
Al 0.000 0.500 0.258  -0.01
Al 0.500 0.000 0.742  -0.01
Ti 0.000 0.000 0.000  0.01
Cr 0.000 0.000 0.500  2.52


Computed energies relative to the best structure, in kJ/mol of atoms: entry one 20.8; entry two 0.0


Entry one
VASP calculation (PBE-GGA) on an optimized crystal structure of AlTlCr3.

Values from the calculation:
Total magnetization = 9.2 μB per cell

Cell lengths 4.635, 4.635, 4.635 Å; angles 90.00, 90.00, 90.00 degrees
Last column: magnetic moment on the atom in μB.
Element x y z (fractional)
Cr 0.500 0.000 0.000  2.76
Cr 0.000 0.000 0.500  3.22
Cr 0.000 0.500 0.000  2.86
Al 0.000 0.000 0.000  -0.08
Tl 0.500 0.500 0.500  -0.11


Entry two
VASP calculation (PBE-GGA) on an optimized crystal structure of AlTlCr3.

Values from the calculation:
Total magnetization = 13.1 μB per cell

Cell lengths 5.165, 5.165, 5.165 Å; angles 90.00, 90.00, 90.00 degrees
Last column: magnetic moment on the atom in μB.
Element x y z (fractional)
Cr 0.000 0.500 0.000  3.90
Cr 0.000 0.000 0.500  4.00
Cr 0.500 0.000 0.000  3.69
Al 0.500 0.500 0.500  0.01
Tl 0.000 0.000 0.000  -0.05


Computed energies relative to the best structure, in kJ/mol of atoms: entry one 0.0; entry two 44.6


Entry one
VASP calculation (PBE-GGA) on an optimized crystal structure of AlTl3Cr.

Values from the calculation:
Total magnetization = 5.0 μB per cell

Cell lengths 5.383, 5.383, 5.383 Å; angles 90.00, 90.00, 90.00 degrees
Last column: magnetic moment on the atom in μB.
Element x y z (fractional)
Cr 0.500 0.500 0.500  4.26
Al 0.000 0.000 0.000  0.01
Tl 0.500 0.000 0.000  0.00
Tl 0.000 0.500 0.000  -0.01
Tl 0.000 0.000 0.500  0.01


Entry two
VASP calculation (PBE-GGA) on an optimized crystal structure of AlTl3Cr.

Values from the calculation:
Total magnetization = 2.8 μB per cell

Cell lengths 5.304, 5.304, 5.304 Å; angles 90.00, 90.00, 90.00 degrees
Last column: magnetic moment on the atom in μB.
Element x y z (fractional)
Tl 0.000 0.000 0.500  0.02
Tl 0.500 0.000 0.000  -0.06
Tl 0.000 0.500 0.000  -0.02
Cr 0.000 0.000 0.000  2.95
Al 0.500 0.500 0.500  -0.04


Computed energies relative to the best structure, in kJ/mol of atoms: entry one 9.1; entry two 0.0